1.
VASP calculation (GGA-PBE) on a relaxed Tb8SmTm3 crystal.

a = 8.602 Å, b = 8.602 Å, c = 8.602 Å
α = 97.41°, β = 98.79°, γ = 135.91°
Positions (direct):
Tb 0.833 0.749 0.582
Tb 0.167 0.749 0.916
Tb 0.011 0.754 0.257
Tb 0.167 0.251 0.418
Tb 0.497 0.754 0.743
Tb 0.503 0.246 0.257
Tb 0.833 0.251 0.084
Tb 0.989 0.246 0.743
Tm 0.000 0.500 0.500
Tm 0.500 0.757 0.257
Tm 0.500 0.243 0.743
Sm 0.000 0.000 0.000

Formation enthalpy at 0 K   0.342 eV/atom
Space-group type   Immm (71)

=====

2.
VASP calculation (GGA-PBE) on a relaxed Tb2Sm12Tm5 crystal.

a = 9.916 Å, b = 9.460 Å, c = 11.362 Å
α = 52.85°, β = 90.00°, γ = 121.61°
Positions (direct):
Tb 0.750 0.000 0.000
Tb 0.250 0.000 0.000
Tm 0.000 0.000 0.500
Tm 0.190 0.380 0.704
Tm 0.810 0.620 0.296
Tm 0.295 0.591 0.303
Tm 0.705 0.409 0.697
Sm 0.356 0.204 0.599
Sm 0.454 0.396 0.204
Sm 0.644 0.796 0.401
Sm 0.606 0.211 0.084
Sm 0.058 0.604 0.796
Sm 0.904 0.807 0.892
Sm 0.096 0.193 0.108
Sm 0.942 0.396 0.204
Sm 0.394 0.789 0.916
Sm 0.546 0.604 0.796
Sm 0.152 0.796 0.401
Sm 0.848 0.204 0.599

Formation enthalpy at 0 K   0.100 eV/atom
Space-group type   C2/m (12)
Distance to the lowest polymorph of the same formula   0 meV/atom

=====

3.
VASP calculation (GGA-PBE) on a relaxed Tb6SmTm6 crystal.

a = 6.628 Å, b = 6.628 Å, c = 11.301 Å
α = 90.00°, β = 90.00°, γ = 119.97°
Each line ends with the local moment (μB).
Positions (direct):
Tb 0.000 0.000 0.345  0.25
Tb 0.333 0.667 0.000  0.01
Tb 0.000 0.000 0.655  0.25
Tb 0.333 0.667 0.500  0.33
Tb 0.667 0.333 0.000  0.01
Tb 0.667 0.333 0.500  0.33
Tm 0.000 0.500 0.244  0.18
Tm 0.500 0.000 0.756  0.18
Tm 0.500 0.500 0.244  0.18
Tm 0.000 0.500 0.756  0.18
Tm 0.500 0.500 0.756  0.18
Tm 0.500 0.000 0.244  0.18
Sm 0.000 0.000 0.000  0.06

Formation enthalpy at 0 K   0.271 eV/atom
Space-group type   P6/mmm (191)